V2RuO2 | PBE+U | relaxed

Cell and atoms, written as POSCAR:
```
V2RuO2
1.0
-2.818 0.894 3.008
0.991 -3.583 1.993
1.735 0.469 4.444
V O Ru
2 2 1
Direct
0.250 0.750 0.500 V
0.750 0.250 0.500 V
0.731 0.731 0.537 O
0.269 0.269 0.463 O
0.000 0.000 0.000 Ru
```

Results
VASP energy = -0.54782 Ry/atom
energy above the lowest structure with this stoichiometry = 0.0 meV/atom
density = 5.844 g/cm3
space-group type = I4/mmm, No. 139